## CoNO2 (PBE with a Hubbard U)

Data for crystalline CoNO2 at its relaxed geometry.

Lattice parameters (Å, degrees): 5.911 5.911 5.911 26.66 26.66 26.66
Positions (direct):
Co (0.000, 0.000, 0.000)
N (0.500, 0.500, 0.500)
O (0.106, 0.106, 0.106)
O (0.894, 0.894, 0.894)

Values from the calculation:
N(E_F) = 1.444 states/eV/cell
space group = R-3m, No. 166
total energy = -4.6417 eV per atom